The following is a DFT calculation (PBE) of a relaxed structure of KMnP2Cl.

Geometry as extended XYZ:
```
5
Lattice="4.331 0.000 0.000 0.000 4.331 0.000 0.000 0.000 6.656" Properties=species:S:1:pos:R:3 pbc="T T T"
K 0.000 0.000 0.000
Mn 2.165 2.165 3.328
P 0.000 2.165 3.328
P 2.165 0.000 3.328
Cl 2.165 2.165 0.000
```

Output
Uncorrected formation energy in meV/atom: -361
Total moment in μB/cell: 2.2
Theoretical density in kg/m3: 2547
DFT total energy in eV/atom: -4.95